[1]
First-principles (GGA-PBE) data for a relaxed K2SO2F4 crystal, as listed in Alexandria via LeMat-Bulk.

Cell: 4.831 5.617 5.617 Å, 60.42 91.18 91.18°
Positions (direct):
F 0.715 0.311 0.848
F 0.285 0.152 0.689
F 0.715 0.848 0.311
F 0.285 0.689 0.152
O 0.676 0.878 0.878
O 0.324 0.122 0.122
K 0.779 0.336 0.336
K 0.221 0.664 0.664
S 0.500 0.000 0.000

Calculated values
Uncorrected formation energy: -1.90 eV/atom
Calculated volume: 14.726 Å³/atom
Crystal system: monoclinic
Magnetic moment: 0.0 μB per cell
Symmetry: C2/m, No. 12

=====

[2]
First-principles (GGA-PBE) data for a relaxed AlIO2 crystal, as listed in Alexandria via LeMat-Bulk.

Cell: 4.260 4.260 4.260 Å, 60.00 60.00 60.00°
Positions (direct):
O 0.250 0.250 0.250
O 0.750 0.750 0.750
Al 0.000 0.000 0.000
I 0.500 0.500 0.500

Calculated values
Energy relative to the lowest polymorph listed for this composition: 174.0 kJ per mole of atoms
Uncorrected formation energy: 0.37 eV/atom
Calculated volume: 13.668 Å³/atom
Crystal system: cubic
Magnetic moment: 0.0 μB per cell
Symmetry: Fm-3m, No. 225

=====

[3]
First-principles (GGA-PBE) data for a relaxed LaYZnHg crystal, as listed in Alexandria via LeMat-Bulk.

Cell: 3.688 3.688 7.703 Å, 90.00 90.00 90.00°
Positions (direct):
Hg 0.000 0.000 0.833
Zn 0.000 0.000 0.380
La 0.500 0.500 0.124
Y 0.500 0.500 0.591

Calculated values
Formation energy: -40.4 kJ per mole of atoms
Energy relative to the lowest polymorph listed for this composition: 0.0 kJ per mole of atoms
Calculated volume: 26.192 Å³/atom
Crystal system: tetragonal
Magnetic moment: 0.0 μB per cell
Symmetry: P4mm, No. 99

=====

[4]
First-principles (GGA-PBE) data for a relaxed LiPmRh crystal, as listed in Alexandria via LeMat-Bulk.

Cell: 3.614 4.373 4.373 Å, 120.00 90.00 90.00°
Positions (direct):
Rh 0.166 0.000 0.000
Li 0.167 0.333 0.667
Pm 0.667 0.667 0.333

Calculated values
Formation energy: -34.8 kJ per mole of atoms
Energy relative to the lowest polymorph listed for this composition: 13.5 kJ per mole of atoms
Calculated volume: 19.953 Å³/atom
Crystal system: hexagonal
Magnetic moment: 0.0 μB per cell
Symmetry: P-6m2, No. 187

=====

[5]
First-principles (GGA-PBE) data for a relaxed PaGa2Sn crystal, as listed in Alexandria via LeMat-Bulk.

Cell: 4.993 4.993 4.993 Å, 60.00 60.00 60.00°
Positions (direct):
Sn 0.500 0.500 0.500
Pa 0.000 0.000 0.000
Ga 0.750 0.750 0.750
Ga 0.250 0.250 0.250

Calculated values
Formation energy: 0.6 kJ per mole of atoms
Energy relative to the lowest polymorph listed for this composition: 35.7 kJ per mole of atoms
Calculated volume: 22.009 Å³/atom
Crystal system: cubic
Magnetic moment: 0.0 μB per cell
Symmetry: Fm-3m, No. 225

=====

[6]
First-principles (GGA-PBE) data for a relaxed Sc2TaInN crystal, as listed in Alexandria via LeMat-Bulk.

Cell: 4.549 4.549 4.181 Å, 90.00 90.00 90.00°
Positions (direct):
N 0.000 0.000 0.000
In 0.500 0.500 0.500
Sc 0.000 0.500 0.000
Sc 0.500 0.000 0.000
Ta 0.000 0.000 0.500

Calculated values
Uncorrected formation energy: -0.82 eV/atom
Calculated volume: 17.299 Å³/atom
Crystal system: tetragonal
Magnetic moment: 0.0 μB per cell
Symmetry: P4/mmm, No. 123